The following is a DFT calculation (PBE) of Zn2Cu5Pt after structural relaxation.

a b c (Å): 3.6816 5.3108 10.6032
angles (deg): 90.00 90.00 90.00
Closest atoms and distances in Å follow each position.
Fractional coordinates of all 16 atoms:
Cu 0.0000 0.4936 0.7463  7 Cu 2.58-2.66, 4 Zn 2.59-2.66, 1 Pt 2.69
Cu 0.0000 0.9936 0.7537  7 Cu 2.58-2.66, 4 Zn 2.59-2.66, 1 Pt 2.69
Cu 0.5000 0.7415 0.6301  6 Cu 2.58-2.63, 4 Zn 2.59-2.71, 2 Pt 2.68
Cu 0.0000 0.5064 0.2537  7 Cu 2.58-2.66, 4 Zn 2.59-2.66, 1 Pt 2.69
Cu 0.5000 0.7585 0.1301  6 Cu 2.58-2.63, 4 Zn 2.59-2.71, 2 Pt 2.68
Cu 0.0000 0.0000 0.0000  6 Cu 2.61-2.63, 4 Zn 2.64, 2 Pt 2.66
Cu 0.5000 0.2585 0.3699  6 Cu 2.58-2.63, 4 Zn 2.59-2.71, 2 Pt 2.68
Cu 0.0000 0.5000 0.5000  6 Cu 2.61-2.63, 4 Zn 2.64, 2 Pt 2.66
Cu 0.0000 0.0064 0.2463  7 Cu 2.58-2.66, 4 Zn 2.59-2.66, 1 Pt 2.69
Cu 0.5000 0.2415 0.8699  6 Cu 2.58-2.63, 4 Zn 2.59-2.71, 2 Pt 2.68
Zn 0.5000 0.2478 0.6258  10 Cu 2.59-2.71, 2 Pt 2.63
Zn 0.5000 0.2522 0.1258  10 Cu 2.59-2.71, 2 Pt 2.63
Zn 0.5000 0.7478 0.8742  10 Cu 2.59-2.71, 2 Pt 2.63
Zn 0.5000 0.7522 0.3742  10 Cu 2.59-2.71, 2 Pt 2.63
Pt 0.0000 0.0000 0.5000  4 Zn 2.63, 8 Cu 2.66-2.69
Pt 0.0000 0.5000 0.0000  4 Zn 2.63, 8 Cu 2.66-2.69

## Properties
Formation enthalpy at 0 K, eV/atom: -0.172
Density, Mg/m³: 10.311
Electronic total energy, eV/cell: -60.890
SG: Pbam, No. 55
Total magnetization, μB per formula unit: 0.0

***

The following is a DFT calculation (PBE) of LaPd2Rh after structural relaxation.

a b c (Å): 4.7566 4.7566 4.7566
angles (deg): 60.00 60.00 60.00
Closest atoms and distances in Å follow each position.
Fractional coordinates of all 4 atoms:
La 0.5000 0.5000 0.5000  8 Pd 2.91
Pd 0.7500 0.7500 0.7500  4 La 2.91, 4 Rh 2.91
Pd 0.2500 0.2500 0.2500  4 La 2.91, 4 Rh 2.91
Rh 0.0000 0.0000 0.0000  8 Pd 2.91

## Properties
Formation enthalpy at 0 K, eV/atom: -0.436
Density, Mg/m³: 9.921
Electronic total energy, eV/cell: -24.409
SG: Fm-3m, No. 225
Total magnetization, μB per formula unit: 0.0